An optimized crystal structure of TbMg. Source: the Open Quantum Materials Database, functional PBE-GGA.

Properties
Final energy (eV/atom): -1.84
M_tot (μB per formula unit): 0.1

a b c (Å): 4.9813 4.9813 8.1428
angles (deg): 90.00 90.00 120.00
With the nearest neighbours (Å) after each atom.
Atoms (fractional coordinates):
Tb: 0.3333 0.6667 0.0000  4 Mg 3.05
Tb: 0.6667 0.3333 0.5000  4 Mg 3.05
Mg: 0.3333 0.6667 0.6252  4 Tb 3.05
Mg: 0.6667 0.3333 0.1252  4 Tb 3.05